VASP calculation (GGA-PBE) on a geometry-optimized Ag2SbS structure.

The structure in POSCAR format:
```
Ag2SbS
1.0
-0.7532 3.9327 -0.2977
-5.7295 -0.8167 3.7079
8.3046 2.3884 10.5405
Ag S Sb
8 4 4
Direct
0.9997 0.7938 0.9458
0.4997 0.7062 0.5542
0.4994 0.5265 0.8369
0.0006 0.0265 0.3369
0.5003 0.2938 0.4458
0.5006 0.4735 0.1631
0.9994 0.9735 0.6631
0.0003 0.2062 0.0542
0.5001 0.2456 0.9359
0.4999 0.7544 0.0641
0.0001 0.2544 0.5641
0.9999 0.7456 0.4359
0.4994 0.9447 0.8110
0.0006 0.4447 0.3110
0.9994 0.5553 0.6890
0.5006 0.0553 0.1890
```

Calculated values
Symmetry: No. 12
E_form (uncorrected) in eV per atom: 0.04



VASP calculation (GGA-PBE) on a geometry-optimized Ag14Sb2S9 structure.

The structure in POSCAR format:
```
Ag14Sb2S9
1.0
7.1649 -0.4941 -0.2726
-3.9090 7.5280 0.2994
-0.2745 0.2313 10.3208
Ag S Sb
14 9 2
Direct
0.3484 0.3164 0.3638
0.6554 0.1701 0.3818
0.8502 0.5677 0.4465
0.3446 0.8299 0.6182
0.8183 0.1199 0.1502
0.6427 0.8860 0.8538
0.6516 0.6836 0.6362
0.8202 0.6526 0.0340
0.1694 0.0851 0.6123
0.1798 0.3474 0.9660
0.1498 0.4323 0.5535
0.8306 0.9149 0.3877
0.3573 0.1140 0.1462
0.1817 0.8801 0.8498
0.3154 0.6803 0.9924
0.9634 0.5904 0.6850
0.6356 0.6110 0.2561
0.2391 0.9860 0.3931
0.0000 0.0000 0.0000
0.3644 0.3890 0.7439
0.0366 0.4096 0.3150
0.7609 0.0140 0.6069
0.6846 0.3197 0.0076
0.4038 0.7580 0.2233
0.5962 0.2420 0.7767
```

Calculated values
Symmetry: No. 2
E_form (uncorrected) in eV per atom: 0.01



VASP calculation (GGA-PBE) on a geometry-optimized Ag4SbS4 structure.

The structure in POSCAR format:
```
Ag4SbS4
1.0
-2.3690 -1.7953 -5.3076
4.0219 -4.5569 -0.2537
-4.6452 -0.3557 5.6799
Ag Sb S
4 1 4
Direct
0.7404 0.7404 0.4808
0.5000 0.0000 0.0000
0.0000 0.5000 0.0000
0.2596 0.2596 0.5192
0.0000 0.0000 0.0000
0.1198 0.1198 0.7431
0.6233 0.6233 0.7431
0.8802 0.3767 0.2569
0.3767 0.8802 0.2569
```

Calculated values
Symmetry: No. 121
E_form (uncorrected) in eV per atom: 0.07
Relative energy among the computed polymorphs in meV/atom: 93.7



Question: Look up the E_form (uncorrected) of the second one.
Answer: 0.01 eV per atom



Repeat the second record exactly.
VASP calculation (GGA-PBE) on a geometry-optimized Ag14Sb2S9 structure.

The structure in POSCAR format:
```
Ag14Sb2S9
1.0
7.1649 -0.4941 -0.2726
-3.9090 7.5280 0.2994
-0.2745 0.2313 10.3208
Ag S Sb
14 9 2
Direct
0.3484 0.3164 0.3638
0.6554 0.1701 0.3818
0.8502 0.5677 0.4465
0.3446 0.8299 0.6182
0.8183 0.1199 0.1502
0.6427 0.8860 0.8538
0.6516 0.6836 0.6362
0.8202 0.6526 0.0340
0.1694 0.0851 0.6123
0.1798 0.3474 0.9660
0.1498 0.4323 0.5535
0.8306 0.9149 0.3877
0.3573 0.1140 0.1462
0.1817 0.8801 0.8498
0.3154 0.6803 0.9924
0.9634 0.5904 0.6850
0.6356 0.6110 0.2561
0.2391 0.9860 0.3931
0.0000 0.0000 0.0000
0.3644 0.3890 0.7439
0.0366 0.4096 0.3150
0.7609 0.0140 0.6069
0.6846 0.3197 0.0076
0.4038 0.7580 0.2233
0.5962 0.2420 0.7767
```

Calculated values
Symmetry: No. 2
E_form (uncorrected) in eV per atom: 0.01



Question: What is the E_form (uncorrected) in the second record?
Answer: 0.01 eV per atom



Question: Look up the E_form (uncorrected) of the first one.
Answer: 0.04 eV per atom